1.
First-principles (PBE-GGA) data for a relaxed MnAgMo crystal, as listed in Alexandria via LeMat-Bulk.

Structure (POSCAR):
```
MnAgMo
1.0
0.0000 2.1677 6.5545
1.6620 0.0000 6.5545
1.6620 2.1677 0.0000
Mn Ag Mo
1 1 1
Cartesian
0.0000 0.0000 0.0000 Mn
1.6620 2.1677 8.7858 Ag
1.6620 2.1677 4.6174 Mo
```

Calculated values
ΔH_f (0 K)   0.368 eV per atom
Total DFT energy (no corrections)   -21.75 eV/cell
Symmetry   Fmm2, No. 42
Energy relative to the lowest polymorph listed for this composition   0.0000 eV/atom
Total moment   2.9 μB per cell


2.
First-principles (PBE-GGA) data for a relaxed LaYTm crystal, as listed in Alexandria via LeMat-Bulk.

Structure (POSCAR):
```
LaYTm
1.0
5.6945 0.0000 0.0000
-2.8473 4.9316 0.0000
0.0000 0.0000 3.5102
La Y Tm
1 1 1
Cartesian
0.0000 0.0000 0.0000 La
2.8473 1.6439 1.7551 Y
0.0000 3.2877 0.0000 Tm
```

Calculated values
ΔH_f (0 K)   0.077 eV per atom
Total DFT energy (no corrections)   -15.63 eV/cell
Symmetry   P-6m2, No. 187
Energy relative to the lowest polymorph listed for this composition   0.0413 eV/atom
Total moment   0.0 μB per cell


Question: Which value of ΔH_f (0 K) does entry 2 give?
Answer: 0.077 eV per atom